No. 1
## DyTmW2C3 (GGA-PBE)

Data for crystalline DyTmW2C3 at its relaxed geometry.

As for the total energy: -9.315 eV/atom.

Cell and atoms, written as POSCAR:
```
DyTmW2C3
1.0
11.749 0.000 0.000
0.000 3.307 0.000
-2.145 0.000 5.263
Dy Tm W C
2 2 4 6
Direct
0.000 0.000 0.000
0.500 0.500 0.000
0.279 0.500 0.357
0.779 0.000 0.357
0.045 0.500 0.507
0.235 0.000 0.854
0.545 0.000 0.507
0.735 0.500 0.854
0.140 0.500 0.918
0.142 0.000 0.444
0.389 0.000 0.183
0.640 0.000 0.918
0.642 0.500 0.444
0.889 0.500 0.183
```

No. 2
## LaSm3Se3S4 (GGA-PBE)

Data for crystalline LaSm3Se3S4 at its relaxed geometry.

As for the total energy: -5.951 eV/atom.

Cell and atoms, written as POSCAR:
```
LaSm3Se3S4
1.0
10.074 0.000 0.000
0.000 2.149 6.835
0.000 -2.149 6.835
La Sm Se S
1 3 3 4
Direct
0.000 0.000 0.000
0.240 0.719 0.719
0.500 0.018 0.018
0.760 0.719 0.719
0.000 0.339 0.339
0.378 0.369 0.369
0.622 0.369 0.369
0.000 0.628 0.628
0.249 0.093 0.093
0.500 0.649 0.649
0.751 0.093 0.093
```

No. 3
## HoTa2 (GGA-PBE)

Data for crystalline HoTa2 at its relaxed geometry.

The calculation puts the energy relative to the lowest polymorph listed for this composition at 4.360 eV/atom.

Cell and atoms, written as POSCAR:
```
HoTa2
1.0
0.000 6.051 6.051
6.051 0.000 6.051
6.051 6.051 0.000
Ho Ta
2 4
Direct
0.125 0.125 0.125
0.875 0.875 0.875
0.000 0.000 0.000
0.000 0.000 0.500
0.000 0.500 0.000
0.500 0.000 0.000
```

No. 4
## KNdO3 (GGA-PBE)

Data for crystalline KNdO3 at its relaxed geometry.

As for the total energy: -5.668 eV/atom.

Cell and atoms, written as POSCAR:
```
KNdO3
1.0
3.836 0.000 0.000
0.000 3.836 0.000
0.000 0.000 5.822
K Nd O
1 1 3
Direct
0.000 0.000 0.000
0.500 0.500 0.475
0.000 0.000 0.596
0.000 0.500 0.262
0.500 0.000 0.262
```

No. 5
## LiTbFeS3 (GGA-PBE)

Data for crystalline LiTbFeS3 at its relaxed geometry.

The calculation puts the energy relative to the lowest polymorph listed for this composition at 0.070 eV/atom.

Cell and atoms, written as POSCAR:
```
LiTbFeS3
1.0
1.921 -5.998 0.000
1.921 5.998 0.000
0.000 0.000 10.536
Li Tb Fe S
2 2 2 6
Direct
0.230 0.770 0.750
0.770 0.230 0.250
0.000 0.000 0.000
0.000 0.000 0.500
0.480 0.520 0.250
0.520 0.480 0.750
0.091 0.909 0.250
0.358 0.642 0.085
0.358 0.642 0.415
0.642 0.358 0.585
0.642 0.358 0.915
0.909 0.091 0.750
```

No. 6
## HoTmZn2Ir4 (GGA-PBE)

Data for crystalline HoTmZn2Ir4 at its relaxed geometry.

As for the total energy: -6.322 eV/atom.

Cell and atoms, written as POSCAR:
```
HoTmZn2Ir4
1.0
4.557 0.000 0.000
0.000 4.557 0.000
0.000 0.000 6.457
Ho Tm Zn Ir
1 1 2 4
Direct
0.000 0.000 0.000
0.500 0.500 0.500
0.000 0.000 0.500
0.500 0.500 0.000
0.000 0.500 0.251
0.000 0.500 0.749
0.500 0.000 0.251
0.500 0.000 0.749
```

No. 7
## TmCdCuS3 (GGA-PBE)

Data for crystalline TmCdCuS3 at its relaxed geometry.

The calculation puts the energy relative to the lowest polymorph listed for this composition at 0.009 eV/atom.

Cell and atoms, written as POSCAR:
```
TmCdCuS3
1.0
1.878 -6.172 0.000
1.878 6.172 0.000
0.000 0.000 10.198
Tm Cd Cu S
2 2 2 6
Direct
0.000 0.000 0.000
0.000 0.000 0.500
0.237 0.763 0.750
0.763 0.237 0.250
0.478 0.522 0.250
0.522 0.478 0.750
0.096 0.904 0.250
0.359 0.641 0.076
0.359 0.641 0.424
0.641 0.359 0.576
0.641 0.359 0.924
0.904 0.096 0.750
```

No. 8
## Sn3Ir2S3 (GGA-PBE)

Data for crystalline Sn3Ir2S3 at its relaxed geometry.

As for the total energy: -5.415 eV/atom.

Cell and atoms, written as POSCAR:
```
Sn3Ir2S3
1.0
8.906 0.000 0.000
0.000 8.906 0.000
0.000 0.000 8.906
Sn Ir S
12 8 12
Direct
0.000 0.161 0.327
0.000 0.161 0.673
0.000 0.839 0.327
0.000 0.839 0.673
0.161 0.327 0.000
0.161 0.673 0.000
0.327 0.000 0.161
0.327 0.000 0.839
0.673 0.000 0.161
0.673 0.000 0.839
0.839 0.327 0.000
0.839 0.673 0.000
0.277 0.277 0.277
0.277 0.277 0.723
0.277 0.723 0.277
0.277 0.723 0.723
0.723 0.277 0.277
0.723 0.277 0.723
0.723 0.723 0.277
0.723 0.723 0.723
0.183 0.500 0.372
0.183 0.500 0.628
0.372 0.183 0.500
0.372 0.817 0.500
0.500 0.372 0.183
0.500 0.372 0.817
0.500 0.628 0.183
0.500 0.628 0.817
0.628 0.183 0.500
0.628 0.817 0.500
0.817 0.500 0.372
0.817 0.500 0.628
```

Summary of total moment in μB/f.u.
0.01, 0.01, 0.02, 2.00, 3.99, 0.00, 0.00, 0.00
(order as listed above)